CrCd2Co | PBE-GGA | optimized geometry

Values from the calculation:
VASP energy: -4.1983 eV per atom
ΔE_f: 442 meV/atom
distance to the lowest polymorph of the same formula: 182 meV per atom

Cell and atoms, written as extended XYZ:
```
4
Lattice="4.8618 0.0080 0.0037 -1.4271 4.6476 0.0037 -0.0029 -0.0039 2.9814" Properties=species:S:1:pos:R:3 pbc="T T T"
Cr -0.7150 2.3219 1.4925
Cd 0.0000 0.0000 0.0000
Cd 1.7173 2.3278 0.0037
Co 2.4295 0.0021 1.4925
```